# As2PbSe

A relaxed As2PbSe crystal (PBEsol, Alexandria via LeMat-Bulk).

Lattice parameters (Å, degrees): 3.5224 5.3899 9.2292 90.00 90.00 90.00
With the nearest neighbours (Å) after each atom.
Space group Cmmm (No. 65)
Symmetry-distinct sites (fractional):
As: 0.0000 0.0000 0.2173  2 Se 2.67
Pb: 0.0000 0.5000 0.5000  4 As 3.15, 6 Pb 3.22-3.52
Se: 0.0000 0.5000 0.0000  4 As 2.67

## Properties
* energy relative to the lowest polymorph listed for this composition: 34.3 kJ per mole of atoms
* uncorrected formation energy: 0.3328 eV/atom

=====

# TaAsPbSe2

A relaxed TaAsPbSe2 crystal (PBEsol, Alexandria via LeMat-Bulk).

Lattice parameters (Å, degrees): 5.1798 5.1798 5.1615 90.00 90.00 90.00
With the nearest neighbours (Å) after each atom.
Space group P4/mmm (No. 123)
Symmetry-distinct sites (fractional):
Ta: 0.0000 0.0000 0.0000  8 Se 3.66, 4 As 3.66
As: 0.5000 0.5000 0.0000  2 Pb 2.58
Pb: 0.5000 0.5000 0.5000  2 As 2.58, 4 Se 2.59
Se: 0.0000 0.5000 0.5000  2 Pb 2.59

## Properties
* uncorrected formation energy: 1.5025 eV/atom

=====

# TeAsPbSe2

A relaxed TeAsPbSe2 crystal (PBEsol, Alexandria via LeMat-Bulk).

Lattice parameters (Å, degrees): 5.2564 5.2564 5.2719 90.00 90.00 90.00
With the nearest neighbours (Å) after each atom.
Space group P4/mmm (No. 123)
Symmetry-distinct sites (fractional):
Te: 0.0000 0.0000 0.0000  4 Se 2.63, 2 As 2.64
As: 0.0000 0.0000 0.5000  2 Te 2.64
Pb: 0.5000 0.5000 0.5000  4 As 3.72, 8 Se 3.72
Se: 0.0000 0.5000 0.0000  2 Te 2.63

## Properties
* energy relative to the lowest polymorph listed for this composition: 0.0 kJ per mole of atoms
* uncorrected formation energy: 0.4136 eV/atom

=====

# SiAsPb2

A relaxed SiAsPb2 crystal (PBEsol, Alexandria via LeMat-Bulk).

Lattice parameters (Å, degrees): 11.3374 3.5495 5.3317 90.00 117.87 90.00
With the nearest neighbours (Å) after each atom.
Space group Cm (No. 8)
Symmetry-distinct sites (fractional):
Si: 0.0000 0.0000 0.0000  2 As 2.44
As: 0.1666 0.5000 0.1704  2 Si 2.44
Pb: 0.2417 0.0000 0.7453  2 Si 3.14, 4 As 3.29, 4 Pb 3.39-3.40
Pb: 0.4519 0.0000 0.4527  4 Si 3.24, 4 As 3.37-3.44, 6 Pb 3.39-3.55

## Properties
* energy relative to the lowest polymorph listed for this composition: 0.0 kJ per mole of atoms
* uncorrected formation energy: 0.1738 eV/atom

=====

# SiAs2Pb

A relaxed SiAs2Pb crystal (PBEsol, Alexandria via LeMat-Bulk).

Lattice parameters (Å, degrees): 3.7944 3.7944 6.3260 90.00 90.00 90.00
With the nearest neighbours (Å) after each atom.
Space group P4mm (No. 99)
Symmetry-distinct sites (fractional):
Si: 0.0000 0.0000 0.0000  1 As 2.38
As: 0.0000 0.0000 0.6231  1 Si 2.38
As: 0.5000 0.5000 0.0414  4 Si 2.70, 1 Pb 2.78
Pb: 0.5000 0.5000 0.4815  5 As 2.78-2.83

## Properties
* energy relative to the lowest polymorph listed for this composition: 11.3 kJ per mole of atoms
* uncorrected formation energy: 0.1708 eV/atom

=====

# Si2AsPb

A relaxed Si2AsPb crystal (PBEsol, Alexandria via LeMat-Bulk).

Lattice parameters (Å, degrees): 4.0411 4.0411 9.8818 90.00 90.00 90.00
With the nearest neighbours (Å) after each atom.
Space group I-4m2 (No. 119)
Symmetry-distinct sites (fractional):
Si: 0.0000 0.0000 0.0000  4 As 2.86, 4 Pb 3.19, 4 Si 3.19
Si: 0.0000 0.5000 0.2500  4 Pb 2.86, 4 As 3.19, 4 Si 3.19
As: 0.0000 0.0000 0.5000  8 Si 2.86-3.19, 4 Pb 3.19
Pb: 0.0000 0.5000 0.7500  8 Si 2.86-3.19, 4 As 3.19

## Properties
* energy relative to the lowest polymorph listed for this composition: 34.0 kJ per mole of atoms
* uncorrected formation energy: 0.5587 eV/atom

=====

no.,total DFT energy (no corrections) (eV per atom),spin magnetization (μB per atom)
1,-4.183,0.00
2,-4.369,0.37
3,-3.653,0.00
4,-4.539,0.00
5,-4.819,0.00
6,-4.591,0.00